VASP calculation (GGA-PBE) on crystalline PmZrSc3 at its relaxed geometry.

Unit cell a=6.874 b=6.415 c=7.336 alpha=102.28 beta=90.00 gamma=122.40
Fractional positions:
1 Sc 0.146 0.718 0.316
2 Sc 0.428 0.282 0.684
3 Sc 0.900 0.800 0.633
4 Pm 0.614 0.228 0.201
5 Zr 0.855 0.710 0.995
6 Pm 0.386 0.772 0.799
7 Sc 0.572 0.718 0.316
8 Sc 0.100 0.200 0.367
9 Sc 0.854 0.282 0.684
10 Zr 0.145 0.290 0.005

Computed properties:
Calculated volume   264.30 Å³/cell
Distance to the lowest polymorph of the same formula   51 meV per atom

***

VASP calculation (GGA-PBE) on crystalline TbPmTlAu at its relaxed geometry.

Unit cell a=3.672 b=3.672 c=7.848 alpha=90.00 beta=90.00 gamma=90.00
Fractional positions:
1 Tl 0.500 0.500 0.115
2 Au 0.500 0.500 0.590
3 Tb 0.000 0.000 0.382
4 Pm 0.000 0.000 0.841

Computed properties:
Calculated volume   105.82 Å³/cell
Distance to the lowest polymorph of the same formula   0 meV per atom

***

VASP calculation (GGA-PBE) on crystalline KBaLi2Rh at its relaxed geometry.

Unit cell a=5.451 b=5.451 c=5.580 alpha=90.00 beta=90.00 gamma=90.00
Fractional positions:
1 Rh 0.000 0.000 0.000
2 Li 0.500 0.000 0.000
3 K 0.500 0.500 0.500
4 Li 0.000 0.500 0.000
5 Ba 0.000 0.000 0.500

Computed properties:
Calculated volume   165.80 Å³/cell
Energy   -13.48 eV/cell

***

VASP calculation (GGA-PBE) on crystalline Pr8Co3HBr4 at its relaxed geometry.

Unit cell a=8.015 b=9.082 c=8.019 alpha=116.21 beta=119.98 gamma=90.00
Fractional positions:
1 Co 0.500 0.500 0.000
2 Pr 0.767 0.307 0.534
3 Pr 0.768 0.308 0.040
4 Pr 0.272 0.308 0.040
5 Br 0.000 0.000 0.500
6 Pr 0.731 0.692 0.461
7 H 0.000 0.500 0.000
8 Pr 0.269 0.308 0.539
9 Co 0.500 0.500 0.500
10 Co 0.000 0.500 0.500
11 Pr 0.233 0.693 0.466
12 Br 0.500 0.000 0.000
13 Br 0.000 0.000 0.000
14 Pr 0.728 0.692 0.960
15 Br 0.500 0.000 0.500
16 Pr 0.232 0.692 0.960

Computed properties:
Calculated volume   434.98 Å³/cell
Energy   -81.21 eV/cell

***

VASP calculation (GGA-PBE) on crystalline Ba4AlZn5 at its relaxed geometry.

Unit cell a=5.812 b=8.000 c=8.000 alpha=82.42 beta=68.70 gamma=68.70
Fractional positions:
1 Al 0.177 0.000 0.000
2 Zn 0.795 0.315 0.000
3 Zn 0.110 0.000 0.685
4 Zn 0.795 0.000 0.315
5 Zn 0.708 0.000 0.000
6 Ba 0.449 0.284 0.716
7 Zn 0.110 0.685 0.000
8 Ba 0.165 0.284 0.284
9 Ba 0.449 0.716 0.284
10 Ba 0.732 0.716 0.716

Computed properties:
Calculated volume   322.88 Å³/cell
Energy   -18.92 eV/cell

***

VASP calculation (GGA-PBE) on crystalline Hf6Hg3N at its relaxed geometry.

Unit cell a=7.088 b=5.984 c=5.984 alpha=61.02 beta=73.90 gamma=73.90
Fractional positions:
1 Hf 0.795 0.324 0.324
2 Hf 0.368 0.151 0.639
3 N 0.500 0.500 0.500
4 Hf 0.632 0.849 0.361
5 Hg 0.245 0.182 0.182
6 Hf 0.632 0.361 0.849
7 Hg 0.000 0.000 0.000
8 Hf 0.205 0.676 0.676
9 Hf 0.368 0.639 0.151
10 Hg 0.755 0.818 0.818

Computed properties:
Calculated volume   210.17 Å³/cell
Formation energy without anion corrections   -209 meV per atom

***

VASP calculation (GGA-PBE) on crystalline ReSiW2 at its relaxed geometry.

Unit cell a=2.859 b=4.070 c=5.215 alpha=90.00 beta=90.00 gamma=90.00
Fractional positions:
1 Re 0.000 0.000 0.508
2 W 0.500 0.500 0.255
3 W 0.000 0.000 0.988
4 Si 0.500 0.500 0.748

Computed properties:
Calculated volume   60.68 Å³/cell
Formation energy without anion corrections   127 meV per atom

***

VASP calculation (GGA-PBE) on crystalline Ir2Pt5Rh4 at its relaxed geometry.

Unit cell a=2.697 b=6.773 c=9.440 alpha=94.43 beta=98.21 gamma=90.00
Fractional positions:
1 Rh 0.329 0.514 0.659
2 Pt 0.234 0.808 0.468
3 Pt 0.766 0.192 0.532
4 Pt 0.139 0.106 0.279
5 Rh 0.955 0.637 0.910
6 Rh 0.045 0.363 0.090
7 Ir 0.910 0.267 0.820
8 Rh 0.671 0.486 0.341
9 Pt 0.861 0.894 0.721
10 Pt 0.500 0.000 0.000
11 Ir 0.090 0.733 0.180

Computed properties:
Calculated volume   170.16 Å³/cell
Energy   -75.32 eV/cell

***

VASP calculation (GGA-PBE) on crystalline PrNd2Si at its relaxed geometry.

Unit cell a=4.064 b=4.064 c=9.701 alpha=77.91 beta=77.91 gamma=60.00
Fractional positions:
1 Si 0.666 0.666 0.003
2 Pr 0.502 0.502 0.495
3 Nd 0.272 0.272 0.183
4 Nd 0.060 0.060 0.819

Computed properties:
Calculated volume   134.63 Å³/cell
Formation energy without anion corrections   -157 meV per atom
Distance to the lowest polymorph of the same formula   201 meV per atom

***

VASP calculation (GGA-PBE) on crystalline TaBeAg2 at its relaxed geometry.

Unit cell a=5.473 b=5.473 c=5.473 alpha=150.49 beta=129.64 gamma=59.45
Fractional positions:
1 Ta 0.750 0.250 0.500
2 Ag 0.038 0.038 0.000
3 Ag 0.462 0.462 0.000
4 Be 0.250 0.750 0.500

Computed properties:
Calculated volume   61.70 Å³/cell
Energy   -19.91 eV/cell

***

VASP calculation (GGA-PBE) on crystalline Mg2CuSe2 at its relaxed geometry.

Unit cell a=7.348 b=7.348 c=7.348 alpha=148.08 beta=148.08 gamma=45.76
Fractional positions:
1 Se 0.750 0.250 0.500
2 Cu 0.000 0.000 0.000
3 Se 0.250 0.750 0.500
4 Mg 0.605 0.605 0.000
5 Mg 0.395 0.395 0.000

Computed properties:
Calculated volume   110.54 Å³/cell
Formation energy without anion corrections   -8 meV per atom
Distance to the lowest polymorph of the same formula   688 meV per atom

***

VASP calculation (GGA-PBE) on crystalline PaCdHgAu at its relaxed geometry.

Unit cell a=5.035 b=5.035 c=5.035 alpha=60.00 beta=60.00 gamma=60.00
Fractional positions:
1 Pa 0.500 0.500 0.500
2 Cd 0.000 0.000 0.000
3 Au 0.250 0.250 0.250
4 Hg 0.750 0.750 0.750

Computed properties:
Calculated volume   90.24 Å³/cell
Energy   -14.67 eV/cell

***

VASP calculation (GGA-PBE) on crystalline Li2MoW at its relaxed geometry.

Unit cell a=4.862 b=4.862 c=4.862 alpha=142.87 beta=122.60 gamma=70.37
Fractional positions:
1 Li 0.023 0.023 0.000
2 W 0.749 0.249 0.500
3 Li 0.230 0.730 0.500
4 Mo 0.498 0.498 0.000

Computed properties:
Calculated volume   57.45 Å³/cell
Distance to the lowest polymorph of the same formula   344 meV per atom

***

VASP calculation (GGA-PBE) on crystalline Fe2Rh3 at its relaxed geometry.

Unit cell a=11.128 b=10.981 c=2.659 alpha=86.24 beta=79.97 gamma=13.79
Last column: magnetic moment on the atom in μB.
Fractional positions:
1 Rh 0.394 0.394 0.606  0.62
2 Fe 0.204 0.204 0.796  2.76
3 Fe 0.796 0.796 0.204  2.76
4 Rh 0.606 0.606 0.394  0.62
5 Rh 0.000 0.000 0.000  -0.18

Computed properties:
Calculated volume   68.47 Å³/cell
Distance to the lowest polymorph of the same formula   166 meV per atom

***

VASP calculation (GGA-PBE) on crystalline Nd3Er2In at its relaxed geometry.

Unit cell a=3.727 b=8.666 c=11.779 alpha=91.01 beta=90.00 gamma=90.00
Fractional positions:
1 Nd 0.750 0.610 0.249
2 Er 0.750 0.080 0.893
3 Er 0.750 0.645 0.570
4 Nd 0.750 0.093 0.603
5 Nd 0.250 0.345 0.069
6 Er 0.250 0.920 0.107
7 Nd 0.250 0.907 0.397
8 In 0.250 0.836 0.744
9 In 0.750 0.164 0.256
10 Er 0.250 0.355 0.430
11 Nd 0.250 0.390 0.751
12 Nd 0.750 0.655 0.931

Computed properties:
Calculated volume   380.39 Å³/cell
Distance to the lowest polymorph of the same formula   33 meV per atom

***

VASP calculation (GGA-PBE) on crystalline CaY2Te at its relaxed geometry.

Unit cell a=6.419 b=6.419 c=6.419 alpha=137.33 beta=137.33 gamma=61.93
Fractional positions:
1 Ca 0.500 0.500 0.000
2 Y 0.250 0.750 0.500
3 Y 0.000 0.000 0.000
4 Te 0.750 0.250 0.500

Computed properties:
Calculated volume   120.09 Å³/cell
Formation energy without anion corrections   -392 meV per atom

***

VASP calculation (GGA-PBE) on crystalline KZr2Sb at its relaxed geometry.

Unit cell a=3.299 b=3.299 c=10.526 alpha=90.00 beta=90.00 gamma=90.11
Fractional positions:
1 Sb 0.500 0.500 0.789
2 Zr 0.000 0.000 0.993
3 Zr 0.500 0.500 0.194
4 K 0.000 0.000 0.524

Computed properties:
Calculated volume   114.56 Å³/cell
Formation energy without anion corrections   -14 meV per atom

***

VASP calculation (GGA-PBE) on crystalline Nb2SiNi2 at its relaxed geometry.

Unit cell a=6.163 b=6.163 c=3.779 alpha=90.00 beta=90.00 gamma=90.00
Fractional positions:
1 Ni 0.636 0.136 0.000
2 Nb 0.173 0.673 0.500
3 Nb 0.673 0.827 0.500
4 Si 0.000 0.000 0.000
5 Nb 0.327 0.173 0.500
6 Si 0.500 0.500 0.000
7 Ni 0.136 0.364 0.000
8 Nb 0.827 0.327 0.500
9 Ni 0.364 0.864 0.000
10 Ni 0.864 0.636 0.000

Computed properties:
Calculated volume   143.54 Å³/cell
Formation energy without anion corrections   -300 meV per atom

***

VASP calculation (GGA-PBE) on crystalline MgCoW at its relaxed geometry.

Unit cell a=4.291 b=4.291 c=2.726 alpha=90.00 beta=90.00 gamma=120.00
Fractional positions:
1 Mg 0.333 0.667 0.298
2 W 0.667 0.333 0.739
3 Co 0.000 0.000 0.963

Computed properties:
Calculated volume   43.46 Å³/cell
Distance to the lowest polymorph of the same formula   125 meV per atom

***

VASP calculation (GGA-PBE) on crystalline BaAlAs2 at its relaxed geometry.

Unit cell a=4.728 b=4.728 c=4.530 alpha=90.00 beta=90.00 gamma=90.02
Fractional positions:
1 Ba 0.500 0.000 0.500
2 As 0.500 0.500 0.000
3 Al 0.000 0.500 0.500
4 As 0.000 0.000 0.000

Computed properties:
Calculated volume   101.27 Å³/cell
Energy   -15.72 eV/cell

***

VASP calculation (GGA-PBE) on crystalline NaAg2N at its relaxed geometry.

Unit cell a=5.763 b=5.763 c=7.121 alpha=66.13 beta=66.13 gamma=90.00
Fractional positions:
1 Ag 0.376 0.625 0.250
2 N 0.250 0.750 0.500
3 N 0.500 0.500 0.000
4 Ag 0.375 0.626 0.750
5 Ag 0.374 0.125 0.250
6 Na 0.000 0.000 0.000
7 Na 0.750 0.250 0.500
8 Ag 0.875 0.624 0.750

Computed properties:
Calculated volume   193.93 Å³/cell
Formation energy without anion corrections   494 meV per atom

***

VASP calculation (GGA-PBE) on crystalline Ce2PrPa at its relaxed geometry.

Unit cell a=3.382 b=3.382 c=10.017 alpha=90.00 beta=90.00 gamma=90.00
Fractional positions:
1 Ce 0.000 0.000 0.773
2 Pr 0.500 0.500 0.500
3 Pa 0.500 0.500 0.000
4 Ce 0.000 0.000 0.227

Computed properties:
Calculated volume   114.57 Å³/cell
Distance to the lowest polymorph of the same formula   0 meV per atom

***

VASP calculation (GGA-PBE) on crystalline Tb6HoPd3 at its relaxed geometry.

Unit cell a=7.211 b=8.757 c=8.757 alpha=98.10 beta=90.00 gamma=90.00
Fractional positions:
1 Pd 0.955 0.713 0.913
2 Pd 0.374 0.424 0.576
3 Tb 0.657 0.964 0.036
4 Tb 0.669 0.629 0.709
5 Tb 0.157 0.036 0.964
6 Tb 0.824 0.421 0.033
7 Tb 0.169 0.371 0.291
8 Tb 0.824 0.967 0.579
9 Pd 0.455 0.913 0.713
10 Pd 0.955 0.087 0.287
11 Ho 0.039 0.321 0.679
12 Pd 0.455 0.287 0.087
13 Ho 0.539 0.679 0.321
14 Tb 0.669 0.291 0.371
15 Tb 0.169 0.709 0.629
16 Tb 0.324 0.033 0.421
17 Tb 0.324 0.579 0.967
18 Tb 0.020 0.769 0.231
19 Pd 0.874 0.576 0.424
20 Tb 0.520 0.231 0.769

Computed properties:
Calculated volume   547.44 Å³/cell
Energy   -105.71 eV/cell

***

VASP calculation (GGA-PBE) on crystalline ZrP2Os at its relaxed geometry.

Unit cell a=3.093 b=3.093 c=6.525 alpha=90.00 beta=90.00 gamma=101.84
Fractional positions:
1 Os 0.500 0.500 0.750
2 P 0.000 0.000 0.976
3 Zr 0.500 0.500 0.250
4 P 0.000 0.000 0.524

Computed properties:
Calculated volume   61.09 Å³/cell
Distance to the lowest polymorph of the same formula   340 meV per atom

***

VASP calculation (GGA-PBE) on crystalline Li2CaBe at its relaxed geometry.

Unit cell a=5.040 b=5.040 c=5.040 alpha=128.25 beta=120.38 gamma=82.82
Fractional positions:
1 Ca 0.256 0.756 0.500
2 Li 0.737 0.237 0.500
3 Be 0.532 0.532 0.000
4 Li 0.975 0.975 0.000

Computed properties:
Calculated volume   83.33 Å³/cell
Energy   -8.36 eV/cell

***

VASP calculation (GGA-PBE) on crystalline In3Re at its relaxed geometry.

Unit cell a=5.553 b=5.553 c=5.553 alpha=116.29 beta=116.29 gamma=116.29
Last column: magnetic moment on the atom in μB.
Fractional positions:
1 In 0.000 0.000 0.000  -0.01
2 In 0.500 0.500 0.000  -0.01
3 Re 0.000 0.500 0.500  0.83
4 In 0.500 0.000 0.500  -0.01

Computed properties:
Calculated volume   83.45 Å³/cell
Distance to the lowest polymorph of the same formula   411 meV per atom